#A
Compound: NbBMo
Source: Alexandria
Functional: GGA-PBE
Structure: optimized geometry

a b c (Å): 5.8256 5.8256 5.8256
angles (deg): 148.04 129.14 61.34
Positions (direct):
1 Nb 0.2117 0.2117 0.0000
2 Nb 0.7883 0.7883 0.0000
3 B 0.3803 0.8803 0.5000
4 B 0.6197 0.1197 0.5000
5 Mo 0.2473 0.5000 0.7473
6 Mo 0.7527 0.5000 0.2527

Properties
The value obtained for the density of states at the Fermi level is 1.126 states/eV/f.u. Its space group is Immm, No. 71. The value obtained for the magnetization is 0.00 Bohr magnetons per cell.



#B
Compound: NbBMo
Source: Alexandria
Functional: GGA-PBE
Structure: optimized geometry

a b c (Å): 4.6900 4.6900 5.6545
angles (deg): 127.02 127.02 63.08
Positions (direct):
1 Nb 0.0000 0.0000 0.0000
2 Nb 0.1646 0.1646 0.6442
3 B 0.0137 0.6213 0.4724
4 B 0.6213 0.0137 0.4724
5 Mo 0.4844 0.4844 0.3266
6 Mo 0.6358 0.6358 0.9528

Properties
The value obtained for the density of states at the Fermi level is 0.768 states/eV/f.u. Its space group is Cm, No. 8. The value obtained for the magnetization is 0.00 Bohr magnetons per cell.



#C
Compound: NbBMo
Source: Alexandria
Functional: GGA-PBE
Structure: optimized geometry

a b c (Å): 4.5714 3.2017 5.7029
angles (deg): 90.00 102.71 90.00
Positions (direct):
1 Nb 0.0661 0.2500 0.2687
2 Nb 0.9339 0.7500 0.7313
3 B 0.3929 0.7500 0.5275
4 B 0.6071 0.2500 0.4725
5 Mo 0.4380 0.2500 0.8151
6 Mo 0.5620 0.7500 0.1849

Properties
The value obtained for the density of states at the Fermi level is 1.107 states/eV/f.u. Its space group is P2_1/m, No. 11. The value obtained for the magnetization is 0.00 Bohr magnetons per cell.



#D
Compound: NbBMo
Source: Alexandria
Functional: GGA-PBE
Structure: optimized geometry

a b c (Å): 3.1519 4.6851 5.8259
angles (deg): 74.03 75.70 88.70
Positions (direct):
1 Nb 0.1489 0.3094 0.2030
2 Nb 0.8511 0.6906 0.7970
3 B 0.2382 0.8812 0.0395
4 B 0.7618 0.1188 0.9605
5 Mo 0.3969 0.2395 0.6521
6 Mo 0.6031 0.7605 0.3479

Properties
The value obtained for the density of states at the Fermi level is 1.458 states/eV/f.u. Its space group is P-1, No. 2. The value obtained for the magnetization is 0.00 Bohr magnetons per cell.



Relative energies, eV/atom: #A 0.119; #B 0.000; #C 0.133; #D 0.099.



#A
Compound: NbBMo
Source: Alexandria
Functional: GGA-PBE
Structure: optimized geometry

a b c (Å): 10.9605 3.2587 6.6525
angles (deg): 90.00 90.00 90.00
Positions (direct):
1 Nb 0.0501 0.0000 0.2097
2 Nb 0.2500 0.0000 0.8426
3 Nb 0.4499 0.0000 0.2097
4 Nb 0.5501 0.0000 0.7903
5 Nb 0.7500 0.0000 0.1574
6 Nb 0.9499 0.0000 0.7903
7 B 0.0883 0.5000 0.9414
8 B 0.2500 0.0000 0.4422
9 B 0.4117 0.5000 0.9414
10 B 0.5883 0.5000 0.0586
11 B 0.7500 0.0000 0.5578
12 B 0.9117 0.5000 0.0586
13 Mo 0.1153 0.5000 0.5625
14 Mo 0.2500 0.5000 0.1902
15 Mo 0.3847 0.5000 0.5625
16 Mo 0.6153 0.5000 0.4375
17 Mo 0.7500 0.5000 0.8098
18 Mo 0.8847 0.5000 0.4375

Properties
The value obtained for the density of states at the Fermi level is 1.506 states/eV/f.u. Its space group is Pmma, No. 51. The value obtained for the magnetization is 0.00 Bohr magnetons per cell.



#B
Compound: NbBMo
Source: Alexandria
Functional: GGA-PBE
Structure: optimized geometry

a b c (Å): 5.2061 5.2061 5.0207
angles (deg): 90.00 90.00 144.01
Positions (direct):
1 Nb 0.2076 0.7924 0.7500
2 Nb 0.7924 0.2076 0.2500
3 B 0.1241 0.8759 0.2500
4 B 0.8759 0.1241 0.7500
5 Mo 0.5000 0.5000 0.0000
6 Mo 0.5000 0.5000 0.5000

Properties
The value obtained for the density of states at the Fermi level is 1.513 states/eV/f.u. Its space group is Cmcm, No. 63. The value obtained for the magnetization is 0.00 Bohr magnetons per cell.



#C
Compound: NbBMo
Source: Alexandria
Functional: GGA-PBE
Structure: optimized geometry

a b c (Å): 4.8979 4.8979 6.4133
angles (deg): 122.47 122.47 38.81
Positions (direct):
1 Nb 0.0843 0.0843 0.3419
2 Nb 0.9157 0.9157 0.6581
3 B 0.3866 0.3866 0.3544
4 B 0.6134 0.6134 0.6456
5 Mo 0.3139 0.3139 0.9145
6 Mo 0.6861 0.6861 0.0855

Properties
The value obtained for the density of states at the Fermi level is 1.305 states/eV/f.u. Its space group is C2/m, No. 12. The value obtained for the magnetization is 0.00 Bohr magnetons per cell.



Relative energies, eV/atom: #A 0.056; #B 0.087; #C 0.000.



#A
Compound: NbBMo
Source: Alexandria
Functional: GGA-PBE
Structure: optimized geometry

a b c (Å): 3.0612 3.3384 4.3979
angles (deg): 90.00 110.00 90.00
Positions (direct):
1 Nb 0.0000 0.0000 0.0000
2 B 0.4254 0.5000 0.8594
3 Mo 0.7155 0.5000 0.4550

Properties
The value obtained for the density of states at the Fermi level is 1.864 states/eV/f.u. Its space group is Pm, No. 6. The value obtained for the magnetization is 0.00 Bohr magnetons per cell.



#B
Compound: NbBMo
Source: Alexandria
Functional: GGA-PBE
Structure: optimized geometry

a b c (Å): 7.6850 7.6850 3.1857
angles (deg): 90.00 90.00 155.38
Positions (direct):
1 Nb 0.0863 0.9137 0.7500
2 Nb 0.9137 0.0863 0.2500
3 B 0.4662 0.5338 0.7500
4 B 0.5338 0.4662 0.2500
5 Mo 0.2988 0.7012 0.7500
6 Mo 0.7012 0.2988 0.2500

Properties
The value obtained for the density of states at the Fermi level is 0.954 states/eV/f.u. Its space group is Cmcm, No. 63. The value obtained for the magnetization is 0.00 Bohr magnetons per cell.



Relative energies, eV/atom: #A 0.504; #B 0.000.



#A
Compound: NbBMo3
Source: Alexandria
Functional: GGA-PBE
Structure: optimized geometry

a b c (Å): 4.7181 4.7181 4.7181
angles (deg): 90.00 90.00 90.00
Positions (direct):
1 Nb 0.0000 0.0000 0.0000
2 B 0.5000 0.5000 0.5000
3 Mo 0.0000 0.0000 0.5000
4 Mo 0.0000 0.5000 0.0000
5 Mo 0.5000 0.0000 0.0000

Properties
The value obtained for the density of states at the Fermi level is 5.577 states/eV/f.u. Its space group is Pm-3m, No. 221. The value obtained for the magnetization is 0.00 Bohr magnetons per cell.



#B
Compound: NbBMo3
Source: Alexandria
Functional: GGA-PBE
Structure: optimized geometry

a b c (Å): 4.2410 4.2410 4.2410
angles (deg): 90.00 90.00 90.00
Positions (direct):
1 Nb 0.0000 0.0000 0.0000
2 B 0.5000 0.5000 0.5000
3 Mo 0.0000 0.5000 0.5000
4 Mo 0.5000 0.0000 0.5000
5 Mo 0.5000 0.5000 0.0000

Properties
The value obtained for the density of states at the Fermi level is 6.385 states/eV/f.u. Its space group is Pm-3m, No. 221. The value obtained for the magnetization is 0.00 Bohr magnetons per cell.



Relative energies, eV/atom: #A 2.562; #B 0.000.



#A
Compound: Nb2SiBMo
Source: Alexandria
Functional: GGA-PBE
Structure: optimized geometry

a b c (Å): 4.8820 4.8820 3.9992
angles (deg): 90.00 90.00 90.00
Positions (direct):
1 Nb 0.0000 0.5000 0.0000
2 Nb 0.5000 0.0000 0.0000
3 Si 0.0000 0.0000 0.5000
4 B 0.5000 0.5000 0.5000
5 Mo 0.5000 0.5000 0.0000

Properties
The value obtained for the density of states at the Fermi level is 6.954 states/eV/f.u. Its space group is P4/mmm, No. 123. The value obtained for the magnetization is 0.00 Bohr magnetons per cell.



#B
Compound: Nb2SiBMo
Source: Alexandria
Functional: GGA-PBE
Structure: optimized geometry

a b c (Å): 4.8044 4.8044 4.5747
angles (deg): 90.00 90.00 90.00
Positions (direct):
1 Nb 0.0000 0.5000 0.0000
2 Nb 0.5000 0.0000 0.0000
3 Si 0.0000 0.0000 0.5000
4 B 0.5000 0.5000 0.5000
5 Mo 0.0000 0.0000 0.0000

Properties
The value obtained for the density of states at the Fermi level is 5.189 states/eV/f.u. Its space group is P4/mmm, No. 123. The value obtained for the magnetization is 0.00 Bohr magnetons per cell.



Relative energies, eV/atom: #A 0.000; #B 0.520.



#A
Compound: NiB2Mo
Source: Alexandria
Functional: GGA-PBE
Structure: optimized geometry

a b c (Å): 7.1916 7.1916 7.1916
angles (deg): 151.20 151.20 41.18
Positions (direct):
1 Ni 0.3750 0.6250 0.7500
2 Ni 0.6250 0.3750 0.2500
3 B 0.0000 0.5000 0.5000
4 B 0.5000 0.0000 0.0000
5 B 0.5000 0.5000 0.0000
6 B 0.5000 0.5000 0.5000
7 Mo 0.1250 0.8750 0.2500
8 Mo 0.8750 0.1250 0.7500

Properties
The value obtained for the density of states at the Fermi level is 2.464 states/eV/f.u. Its space group is I4_1/amd, No. 141. The value obtained for the magnetization is 0.00 Bohr magnetons per cell.



#B
Compound: NiB2Mo
Source: Alexandria
Functional: GGA-PBE
Structure: optimized geometry

a b c (Å): 5.3125 3.1272 9.0747
angles (deg): 90.00 90.00 90.00
Positions (direct):
1 Ni 0.1621 0.2500 0.0507
2 Ni 0.3379 0.7500 0.5507
3 Ni 0.6621 0.2500 0.4493
4 Ni 0.8379 0.7500 0.9493
5 B 0.0282 0.2500 0.8363
6 B 0.1912 0.2500 0.6654
7 B 0.3088 0.7500 0.1654
8 B 0.4718 0.7500 0.3363
9 B 0.5282 0.2500 0.6637
10 B 0.6912 0.2500 0.8346
11 B 0.8088 0.7500 0.3346
12 B 0.9718 0.7500 0.1637
13 Mo 0.1361 0.2500 0.3373
14 Mo 0.3639 0.7500 0.8373
15 Mo 0.6361 0.2500 0.1627
16 Mo 0.8639 0.7500 0.6627

Properties
The value obtained for the density of states at the Fermi level is 0.600 states/eV/f.u. Its space group is Pnma, No. 62. The value obtained for the magnetization is 0.00 Bohr magnetons per cell.



Relative energies, eV/atom: #A 0.760; #B 0.000.